(1)
Here is a geometry-optimized PaAl5Ni structure from the Open Quantum Materials Database. Energies are from PBE.

Structure (extended XYZ):
```
7
Lattice="4.2570 0.0000 0.0000 0.0000 4.2570 0.0000 0.0000 0.0000 6.8727" Properties=species:S:1:pos:R:3 pbc="T T T"
Al 2.1285 2.1285 0.0000
Al 2.1285 0.0000 2.1124
Al 0.0000 2.1285 2.1124
Al 2.1285 0.0000 4.7603
Al 0.0000 2.1285 4.7603
Ni 0.0000 0.0000 3.4363
Pa 0.0000 0.0000 0.0000
```

**Crystal system**: tetragonal

=====

(2)
Here is a geometry-optimized NbTlCuSeS2 structure from the Open Quantum Materials Database. Energies are from PBE.

Structure (extended XYZ):
```
12
Lattice="1.7660 -7.5525 0.0000 1.7660 7.5525 0.0000 0.0000 0.0000 9.7849" Properties=species:S:1:pos:R:3 pbc="T T T"
Cu 1.7660 6.9631 2.4462
Cu 1.7660 -6.9631 7.3387
Nb 1.7660 0.0000 0.0000
Nb 1.7660 0.0000 4.8925
S 1.7660 5.8166 0.5047
S 1.7660 5.8166 4.3878
S 1.7660 -5.8166 5.3971
S 1.7660 -5.8166 9.2803
Se 1.7660 1.1151 2.4462
Se 1.7660 -1.1151 7.3387
Tl 1.7660 -3.6702 2.4462
Tl 1.7660 3.6702 7.3387
```

**Crystal system**: orthorhombic

=====

(3)
Here is a geometry-optimized CsRbHg structure from the Open Quantum Materials Database. Energies are from PBE.

Structure (extended XYZ):
```
3
Lattice="0.0000 4.6768 4.6768 4.6768 0.0000 4.6768 4.6768 4.6768 0.0000" Properties=species:S:1:pos:R:3 pbc="T T T"
Cs 0.0000 0.0000 0.0000
Hg 2.3384 2.3384 2.3384
Rb 7.0152 7.0152 7.0152
```

**Energy relative to the lowest polymorph listed for this composition**: 176 meV/atom
**Crystal system**: cubic

=====

(4)
Here is a geometry-optimized FeGe3 structure from the Open Quantum Materials Database. Energies are from PBE.

Structure (extended XYZ):
```
4
Lattice="1.0045 -4.5247 -2.3351 0.6080 -4.0738 3.1574 -3.5147 3.7767 -0.5638" Properties=species:S:1:pos:R:3 pbc="T T T"
Fe 0.0000 0.0000 0.0000
Ge 0.8063 -4.2993 0.4112
Ge -0.8520 -2.5236 -1.2438
Ge -1.0502 -2.2981 1.5024
```

**Crystal system**: tetragonal

=====

(5)
Here is a geometry-optimized ZnSnO3 structure from the Open Quantum Materials Database. Energies are from PBE.

Structure (extended XYZ):
```
10
Lattice="-2.7110 5.0891 1.4671 2.6560 -1.2341 -5.1791 -4.6260 -1.9117 -1.9168" Properties=species:S:1:pos:R:3 pbc="T T T"
O -1.1929 0.4417 -1.4336
O -1.2206 2.3883 -3.3080
O -0.4986 -0.3745 -4.2397
O -3.5375 -0.4769 -2.3528
O -3.5653 1.4697 -4.2272
O -5.4600 1.7899 -1.9184
Sn -2.2941 4.5411 0.8918
Sn -0.1454 -1.6715 -5.5918
Zn -0.5905 2.4178 -1.3385
Zn -1.9949 0.3915 -3.4220
```

**Crystal system**: orthorhombic

=====

(6)
Here is a geometry-optimized PaZnFe structure from the Open Quantum Materials Database. Energies are from PBE.

Structure (extended XYZ):
```
6
Lattice="5.2884 -2.2278 0.0000 5.2884 2.2278 0.0000 -1.2091 0.0000 4.4387" Properties=species:S:1:pos:R:3 pbc="T T T"
Fe 8.3224 0.0000 0.7676
Fe 1.0452 0.0000 3.6711
Pa 0.9974 0.0000 1.4025
Pa 8.3702 0.0000 3.0362
Zn 4.2179 0.0000 0.8812
Zn 5.1497 0.0000 3.5575
```

**ΔH_f (0 K)**: -0.29 eV/atom
**Crystal system**: monoclinic

=====

(7)
Here is a geometry-optimized SmDyNi2B4 structure from the Open Quantum Materials Database. Energies are from PBE.

Structure (extended XYZ):
```
8
Lattice="-2.1316 1.6742 2.5293 -2.9242 -0.3130 -2.2572 -1.6988 -6.9421 3.1633" Properties=species:S:1:pos:R:3 pbc="T T T"
B -0.2211 -0.9037 0.4118
B -0.5760 -2.3538 1.0725
B -3.6485 -3.8988 2.2227
B -4.0055 -5.3575 2.8874
Dy -3.0702 -1.5355 1.1458
Ni -1.0685 0.8260 1.2697
Ni -1.4648 -0.1676 -1.1236
Sm -1.1534 -4.7132 2.1476
```

**Crystal system**: tetragonal

=====

(8)
Here is a geometry-optimized PaReHg structure from the Open Quantum Materials Database. Energies are from PBE.

Structure (extended XYZ):
```
3
Lattice="-1.4331 2.0082 4.0622 -4.2468 -1.1022 1.8269 -0.2773 -2.6009 3.9682" Properties=species:S:1:pos:R:3 pbc="T T T"
Hg -1.4893 -0.4237 2.4643
Pa 0.0000 0.0000 0.0000
Re -4.4679 -1.2712 7.3930
```

**ΔH_f (0 K)**: 1.02 eV/atom
**Energy relative to the lowest polymorph listed for this composition**: 474 meV/atom
**Crystal system**: cubic

=====

no.,calculated volume (Å³/f.u.),final energy (Ha/atom)
1,124.55,-0.19111
2,130.51,-0.19243
3,204.58,-0.02475
4,67.06,-0.18831
5,76.22,-0.19735
6,52.29,-0.24407
7,107.42,-0.22420
8,75.91,-0.23465